(1)
A relaxed structure of KPPd3, computed with PBE-GGA.

a = 6.017 Å, b = 6.017 Å, c = 6.124 Å
α = 90.00°, β = 90.00°, γ = 121.27°
Element x y z (fractional)
K 0.249 0.751 0.750
K 0.751 0.249 0.250
P 0.101 0.899 0.250
P 0.899 0.101 0.750
Pd 0.246 0.246 0.000
Pd 0.246 0.246 0.500
Pd 0.320 0.680 0.250
Pd 0.680 0.320 0.750
Pd 0.754 0.754 0.000
Pd 0.754 0.754 0.500

Results
**ΔE to the lowest computed polymorph**: 0.00 eV/f.u.
**Total DFT energy (no corrections)**: -4.77 eV/atom
**DFT formation energy**: -1.74 eV per formula unit

(2)
A relaxed structure of K2PPd2, computed with PBE-GGA.

a = 7.726 Å, b = 7.726 Å, c = 6.681 Å
α = 110.13°, β = 110.13°, γ = 47.53°
Element x y z (fractional)
K 0.100 0.196 0.470
K 0.196 0.100 0.970
K 0.804 0.900 0.030
K 0.900 0.804 0.530
P 0.370 0.630 0.250
P 0.630 0.370 0.750
Pd 0.370 0.417 0.903
Pd 0.417 0.370 0.403
Pd 0.583 0.630 0.597
Pd 0.630 0.583 0.097

Results
**ΔE to the lowest computed polymorph**: 0.00 eV/f.u.
**Total DFT energy (no corrections)**: -3.86 eV/atom
**DFT formation energy**: -1.29 eV per formula unit